Entry 1:
Compound: Li5Zn2Cd2Hg
Source: Alexandria via LeMat-Bulk
Functional: PBE
Structure: optimized geometry

## Properties
The energy of formation comes out at -0.17 eV per atom. The calculation puts the density at 5.441 Mg/m³. For the total magnetization, the calculation gives 0.00 μB per formula unit.

```
data_Li5Zn2Cd2Hg
_cell_length_a 9.644
_cell_length_b 9.644
_cell_length_c 3.878
_cell_angle_alpha 90.00
_cell_angle_beta 90.00
_cell_angle_gamma 90.00
_space_group_name_H-M_alt 'P 4/m b m'
_space_group_IT_number 127
_space_group_name_Hall '-P 4 2ab'
loop_
_atom_site_label
_atom_site_type_symbol
_atom_site_fract_x
_atom_site_fract_y
_atom_site_fract_z
Li1 Li 0.000 0.500 0.000
Li2 Li 0.079 0.195 0.000
Zn1 Zn 0.125 0.375 0.500
Cd1 Cd 0.170 0.670 0.500
Hg1 Hg 0.000 0.000 0.500
```



Entry 2:
Compound: Li3Zn2Cd3Hg
Source: Alexandria via LeMat-Bulk
Functional: PBE
Structure: optimized geometry

## Properties
The energy of formation comes out at -0.18 eV per atom. The calculation puts the density at 6.983 Mg/m³. For the total magnetization, the calculation gives 0.00 μB per formula unit.

```
data_Li3Zn2Cd3Hg
_cell_length_a 7.9760
_cell_length_b 7.9760
_cell_length_c 2.9759
_cell_angle_alpha 90.00
_cell_angle_beta 90.00
_cell_angle_gamma 120.00
_space_group_name_H-M_alt 'P -6 2 m'
_space_group_IT_number 189
_space_group_name_Hall 'P -6 -2'
loop_
_atom_site_label
_atom_site_type_symbol
_atom_site_fract_x
_atom_site_fract_y
_atom_site_fract_z
Li1 Li 0.0000 0.3020 0.0000
Zn1 Zn 0.3333 0.6667 0.0000
Cd1 Cd 0.0000 0.6257 0.5000
Hg1 Hg 0.0000 0.0000 0.5000
```



Entry 3:
Compound: LuCd2Hg
Source: Alexandria via LeMat-Bulk
Functional: PBE
Structure: optimized geometry

## Properties
The calculation puts the relative energy among the computed polymorphs at 0.000 eV per atom. The energy of formation comes out at -0.24 eV per atom. The calculation puts the density at 10.679 Mg/m³. For the total magnetization, the calculation gives 0.00 μB per formula unit.

```
data_LuCd2Hg
_cell_length_a 4.395
_cell_length_b 4.395
_cell_length_c 4.832
_cell_angle_alpha 90.00
_cell_angle_beta 90.00
_cell_angle_gamma 90.00
_space_group_name_H-M_alt 'P 4/m m m'
_space_group_IT_number 123
_space_group_name_Hall '-P 4 2'
loop_
_atom_site_label
_atom_site_type_symbol
_atom_site_fract_x
_atom_site_fract_y
_atom_site_fract_z
Lu1 Lu 0.000 0.000 0.000
Cd1 Cd 0.000 0.500 0.500
Hg1 Hg 0.500 0.500 0.000
```



Entry 4:
Compound: LuCdHg
Source: Alexandria via LeMat-Bulk
Functional: PBE
Structure: optimized geometry

## Properties
The energy of formation comes out at -0.31 eV per atom. The calculation puts the density at 11.501 Mg/m³. For the total magnetization, the calculation gives 0.00 μB per formula unit.

```
data_LuCdHg
_cell_length_a 4.9145
_cell_length_b 4.9145
_cell_length_c 3.3682
_cell_angle_alpha 90.00
_cell_angle_beta 90.00
_cell_angle_gamma 120.00
_space_group_name_H-M_alt 'P -6 m 2'
_space_group_IT_number 187
_space_group_name_Hall 'P -6 2'
loop_
_atom_site_label
_atom_site_type_symbol
_atom_site_fract_x
_atom_site_fract_y
_atom_site_fract_z
Lu1 Lu 0.0000 0.0000 0.0000
Cd1 Cd 0.6667 0.3333 0.5000
Hg1 Hg 0.3333 0.6667 0.5000
```



Entry 5:
Compound: LuCd2Hg
Source: Alexandria via LeMat-Bulk
Functional: PBE
Structure: optimized geometry

## Properties
The calculation puts the relative energy among the computed polymorphs at 0.101 eV per atom. The energy of formation comes out at -0.14 eV per atom. The calculation puts the density at 10.416 Mg/m³. For the total magnetization, the calculation gives 0.00 μB per formula unit.

```
data_LuCd2Hg
_cell_length_a 3.739
_cell_length_b 3.739
_cell_length_c 6.845
_cell_angle_alpha 90.00
_cell_angle_beta 90.00
_cell_angle_gamma 90.00
_space_group_name_H-M_alt 'P 4/m m m'
_space_group_IT_number 123
_space_group_name_Hall '-P 4 2'
loop_
_atom_site_label
_atom_site_type_symbol
_atom_site_fract_x
_atom_site_fract_y
_atom_site_fract_z
Lu1 Lu 0.000 0.000 0.000
Cd1 Cd 0.500 0.500 0.259
Hg1 Hg 0.000 0.000 0.500
```



Entry 6:
Compound: LuCd2Hg
Source: Alexandria via LeMat-Bulk
Functional: PBE
Structure: optimized geometry

## Properties
The calculation puts the relative energy among the computed polymorphs at 0.409 eV per atom. The energy of formation comes out at 0.16 eV per atom. The calculation puts the density at 9.550 Mg/m³. For the total magnetization, the calculation gives 0.00 μB per formula unit.

```
data_LuCd2Hg
_cell_length_a 3.2536
_cell_length_b 3.2536
_cell_length_c 34.1590
_cell_angle_alpha 90.00
_cell_angle_beta 90.00
_cell_angle_gamma 120.00
_space_group_name_H-M_alt 'R -3 m'
_space_group_IT_number 166
_space_group_name_Hall '-R 3 2"'
loop_
_atom_site_label
_atom_site_type_symbol
_atom_site_fract_x
_atom_site_fract_y
_atom_site_fract_z
Lu1 Lu 0.0000 0.0000 0.0000
Cd1 Cd 0.0000 0.0000 0.0903
Hg1 Hg 0.0000 0.0000 0.5000
```



Entry 7:
Compound: LuCdHg
Source: Alexandria via LeMat-Bulk
Functional: PBE
Structure: optimized geometry

## Properties
The energy of formation comes out at -0.26 eV per atom. The calculation puts the density at 11.389 Mg/m³. For the total magnetization, the calculation gives 0.00 μB per formula unit.

```
data_LuCdHg
_cell_length_a 3.431
_cell_length_b 3.431
_cell_length_c 12.086
_cell_angle_alpha 90.00
_cell_angle_beta 90.00
_cell_angle_gamma 90.00
_space_group_name_H-M_alt 'I 4 m m'
_space_group_IT_number 107
_space_group_name_Hall 'I 4 -2'
loop_
_atom_site_label
_atom_site_type_symbol
_atom_site_fract_x
_atom_site_fract_y
_atom_site_fract_z
Lu1 Lu 0.000 0.000 0.000
Cd1 Cd 0.000 0.000 0.326
Hg1 Hg 0.000 0.000 0.661
```



Entry 8:
Compound: LuCd2Hg
Source: Alexandria via LeMat-Bulk
Functional: PBE
Structure: optimized geometry

## Properties
The calculation puts the relative energy among the computed polymorphs at 0.105 eV per atom. The energy of formation comes out at -0.14 eV per atom. The calculation puts the density at 10.905 Mg/m³. For the total magnetization, the calculation gives 0.00 μB per formula unit.

```
data_LuCd2Hg
_cell_length_a 7.151
_cell_length_b 7.151
_cell_length_c 7.151
_cell_angle_alpha 90.00
_cell_angle_beta 90.00
_cell_angle_gamma 90.00
_space_group_name_H-M_alt 'F m -3 m'
_space_group_IT_number 225
_space_group_name_Hall '-F 4 2 3'
loop_
_atom_site_label
_atom_site_type_symbol
_atom_site_fract_x
_atom_site_fract_y
_atom_site_fract_z
Lu1 Lu 0.000 0.000 0.000
Cd1 Cd 0.250 0.250 0.250
Hg1 Hg 0.000 0.000 0.500
```



Entry 9:
Compound: LuCdHg
Source: Alexandria via LeMat-Bulk
Functional: PBE
Structure: optimized geometry

## Properties
The energy of formation comes out at -0.19 eV per atom. The calculation puts the density at 10.190 Mg/m³. For the total magnetization, the calculation gives 0.00 μB per formula unit.

```
data_LuCdHg
_cell_length_a 6.826
_cell_length_b 6.826
_cell_length_c 6.826
_cell_angle_alpha 90.00
_cell_angle_beta 90.00
_cell_angle_gamma 90.00
_space_group_name_H-M_alt 'F -4 3 m'
_space_group_IT_number 216
_space_group_name_Hall 'F -4 2 3'
loop_
_atom_site_label
_atom_site_type_symbol
_atom_site_fract_x
_atom_site_fract_y
_atom_site_fract_z
Lu1 Lu 0.000 0.000 0.000
Cd1 Cd 0.000 0.000 0.500
Hg1 Hg 0.250 0.250 0.750
```



Entry 10:
Compound: LuMgCdHg
Source: Alexandria via LeMat-Bulk
Functional: PBE
Structure: optimized geometry

## Properties
The energy of formation comes out at -0.34 eV per atom. The calculation puts the density at 9.485 Mg/m³. For the total magnetization, the calculation gives 0.00 μB per formula unit.

```
data_LuMgCdHg
_cell_length_a 7.105
_cell_length_b 7.105
_cell_length_c 7.105
_cell_angle_alpha 90.00
_cell_angle_beta 90.00
_cell_angle_gamma 90.00
_space_group_name_H-M_alt 'F -4 3 m'
_space_group_IT_number 216
_space_group_name_Hall 'F -4 2 3'
loop_
_atom_site_label
_atom_site_type_symbol
_atom_site_fract_x
_atom_site_fract_y
_atom_site_fract_z
Lu1 Lu 0.000 0.000 0.000
Mg1 Mg 0.000 0.000 0.500
Cd1 Cd 0.250 0.250 0.750
Hg1 Hg 0.250 0.250 0.250
```



Entry 11:
Compound: LuMnCdHg
Source: Alexandria via LeMat-Bulk
Functional: PBE
Structure: optimized geometry

## Properties
The energy of formation comes out at -0.05 eV per atom. The calculation puts the density at 10.681 Mg/m³. For the total magnetization, the calculation gives 4.07 μB per formula unit.

```
data_LuMnCdHg
_cell_length_a 6.963
_cell_length_b 6.963
_cell_length_c 6.963
_cell_angle_alpha 90.00
_cell_angle_beta 90.00
_cell_angle_gamma 90.00
_space_group_name_H-M_alt 'F -4 3 m'
_space_group_IT_number 216
_space_group_name_Hall 'F -4 2 3'
loop_
_atom_site_label
_atom_site_type_symbol
_atom_site_fract_x
_atom_site_fract_y
_atom_site_fract_z
Lu1 Lu 0.000 0.000 0.000
Mn1 Mn 0.000 0.000 0.500
Cd1 Cd 0.250 0.250 0.750
Hg1 Hg 0.250 0.250 0.250
```



Entry 12:
Compound: NdLuCdHg
Source: Alexandria via LeMat-Bulk
Functional: PBE
Structure: optimized geometry

## Properties
The energy of formation comes out at -0.37 eV per atom. The calculation puts the density at 9.871 Mg/m³. For the total magnetization, the calculation gives 0.12 μB per formula unit.

```
data_NdLuCdHg
_cell_length_a 7.521
_cell_length_b 7.521
_cell_length_c 7.521
_cell_angle_alpha 90.00
_cell_angle_beta 90.00
_cell_angle_gamma 90.00
_space_group_name_H-M_alt 'F -4 3 m'
_space_group_IT_number 216
_space_group_name_Hall 'F -4 2 3'
loop_
_atom_site_label
_atom_site_type_symbol
_atom_site_fract_x
_atom_site_fract_y
_atom_site_fract_z
Nd1 Nd 0.000 0.000 0.000
Lu1 Lu 0.000 0.000 0.500
Cd1 Cd 0.250 0.250 0.250
Hg1 Hg 0.250 0.250 0.750
```